A relaxed structure of TbSm2Er4Tm, computed with PBE-GGA.

Values from the calculation:
Fermi-level density of states, states/eV per atom: 2.150
ΔE_f, eV per atom: 0.440
Spin magnetization, Bohr magnetons per cell: 6.20

```
TbSm2Er4Tm
1.0
-3.3821 5.8593 6.6121
3.3821 -5.8593 6.6121
3.3821 5.8593 -6.6121
Tb Sm Er Tm
2 4 8 2
Cartesian
0.0000 0.0000 0.0000 Tb
0.0000 5.8593 0.0000 Tb
3.3821 0.0000 0.0000 Sm
-1.6911 2.9297 3.3060 Sm
0.0000 0.0000 6.6121 Sm
1.6911 2.9297 3.3060 Sm
1.6863 2.9297 -0.0472 Er
3.3821 5.8163 -3.3164 Er
1.6958 -2.9297 6.5648 Er
3.3821 -0.0431 3.3164 Er
0.0000 5.9024 3.2956 Er
1.6863 8.7890 0.0472 Er
0.0000 0.0431 9.9285 Er
1.6958 2.9297 6.6593 Er
1.6911 2.9297 -3.3060 Tm
1.6911 -2.9297 3.3060 Tm
```


A relaxed structure of ZnCuOs2, computed with PBE-GGA.

Values from the calculation:
Fermi-level density of states, states/eV per atom: 1.216
ΔE_f, eV per atom: 0.288
Spin magnetization, Bohr magnetons per cell: 0.00

```
ZnCuOs2
1.0
1.3531 0.7812 8.7262
-1.3531 0.7812 8.7262
0.0000 -1.5624 8.7262
Zn Cu Os
1 1 2
Cartesian
0.0000 0.0000 0.0000 Zn
0.0000 0.0000 13.0893 Cu
0.0000 0.0000 6.5155 Os
0.0000 0.0000 19.6630 Os
```


A relaxed structure of Ti3Ga2Pd, computed with PBE-GGA.

Values from the calculation:
Fermi-level density of states, states/eV per atom: 0.928
ΔE_f, eV per atom: -0.497
Spin magnetization, Bohr magnetons per cell: 0.00

```
Ti3Ga2Pd
1.0
2.8427 0.0000 0.0000
0.0000 2.8427 0.0000
0.0000 0.0000 11.6279
Ti Ga Pd
3 2 1
Cartesian
0.0000 0.0000 0.0000 Ti
0.0000 0.0000 3.8846 Ti
0.0000 0.0000 7.7434 Ti
1.4214 1.4214 1.9563 Ga
1.4214 1.4214 9.6716 Ga
1.4214 1.4214 5.8140 Pd
```


A relaxed structure of SrDyO, computed with PBE-GGA.

Values from the calculation:
Fermi-level density of states, states/eV per atom: 0.829
Spin magnetization, Bohr magnetons per cell: 0.00
Total DFT energy (no corrections), eV/atom: -5.66

```
SrDyO
1.0
12.5602 -2.0010 0.0000
12.5602 2.0010 0.0000
-0.2564 0.0000 7.8734
Sr Dy O
4 4 4
Cartesian
1.6185 0.0000 2.7978 Sr
10.6263 0.0000 1.1143 Sr
14.2377 0.0000 6.7590 Sr
23.2455 0.0000 5.0755 Sr
5.1935 0.0000 0.9432 Dy
5.0868 0.0000 4.8950 Dy
19.7772 0.0000 2.9784 Dy
19.6705 0.0000 6.9302 Dy
6.1822 0.0000 2.9446 O
6.0712 0.0000 6.8970 O
18.7927 0.0000 0.9764 O
18.6817 0.0000 4.9288 O
```


A relaxed structure of RbNb2Cd, computed with PBE-GGA.

Values from the calculation:
Fermi-level density of states, states/eV per atom: 0.942
ΔE_f, eV per atom: 1.273
Spin magnetization, Bohr magnetons per cell: 0.00

```
RbNb2Cd
1.0
-2.2669 2.2669 11.2892
2.2669 -2.2669 11.2892
2.2669 2.2669 -11.2892
Rb Nb Cd
2 4 2
Cartesian
0.0000 0.0000 0.0000 Rb
0.0000 2.2669 5.6446 Rb
1.1335 -0.5013 8.4669 Nb
1.7656 1.1335 2.8223 Nb
1.1335 2.7682 -2.8223 Nb
0.5013 1.1335 14.1115 Nb
2.2669 0.0000 5.6446 Cd
0.0000 0.0000 11.2892 Cd
```


A relaxed structure of Na3YSe, computed with PBE-GGA.

Values from the calculation:
Fermi-level density of states, states/eV per atom: 0.451
Energy relative to the lowest polymorph listed for this composition, meV per atom: 0
Spin magnetization, Bohr magnetons per cell: 1.84

```
Na3YSe
1.0
5.5753 0.0000 0.0000
0.0000 5.5753 0.0000
0.0000 0.0000 5.5753
Na Y Se
3 1 1
Cartesian
0.0000 0.0000 2.7877 Na
0.0000 2.7877 0.0000 Na
2.7877 0.0000 0.0000 Na
2.7877 2.7877 2.7877 Y
0.0000 0.0000 0.0000 Se
```


A relaxed structure of NiIrSe3, computed with PBE-GGA.

Values from the calculation:
Fermi-level density of states, states/eV per atom: 1.111
Energy relative to the lowest polymorph listed for this composition, meV per atom: 0
Spin magnetization, Bohr magnetons per cell: 0.00

```
NiIrSe3
1.0
4.5710 0.0000 0.0000
0.0000 4.5710 0.0000
0.0000 0.0000 4.5710
Ni Ir Se
1 1 3
Cartesian
0.0000 0.0000 0.0000 Ni
2.2855 2.2855 2.2855 Ir
0.0000 0.0000 2.2855 Se
0.0000 2.2855 0.0000 Se
2.2855 0.0000 0.0000 Se
```


A relaxed structure of CuNi2Os, computed with PBE-GGA.

Values from the calculation:
Fermi-level density of states, states/eV per atom: 1.614
Energy relative to the lowest polymorph listed for this composition, meV per atom: 20
ΔE_f, eV per atom: 0.111
Spin magnetization, Bohr magnetons per cell: 0.00

```
CuNi2Os
1.0
1.3111 0.7569 8.2490
-1.3111 0.7569 8.2490
0.0000 -1.5139 8.2490
Cu Ni Os
1 2 1
Cartesian
0.0000 0.0000 0.0000 Cu
0.0000 0.0000 6.2156 Ni
0.0000 0.0000 18.5314 Ni
0.0000 0.0000 12.3735 Os
```